(1)
VASP calculation (PBE-GGA) on a geometry-optimized LaTbPmSn structure.

Unit cell a=5.5662 b=5.5662 c=5.5662 alpha=60.00 beta=60.00 gamma=60.00
Atoms (fractional coordinates):
La  0.0000  0.0000  0.0000
Tb  0.7500  0.7500  0.7500
Pm  0.5000  0.5000  0.5000
Sn  0.2500  0.2500  0.2500

Calculated values
As for the space group: No. 216. For the formation enthalpy at 0 K, the calculation gives -0.27 eV/atom. Its crystal system is cubic. As for the density of states at the Fermi level: 1.60 states/eV/atom.

---

(2)
VASP calculation (PBE-GGA) on a geometry-optimized LaPmThSn structure.

Unit cell a=5.5647 b=5.5647 c=5.5647 alpha=60.00 beta=60.00 gamma=60.00
Atoms (fractional coordinates):
La  0.0000  0.0000  0.0000
Pm  0.7500  0.7500  0.7500
Th  0.2500  0.2500  0.2500
Sn  0.5000  0.5000  0.5000

Calculated values
As for the space group: No. 216. For the formation enthalpy at 0 K, the calculation gives -0.18 eV/atom. Its crystal system is cubic. As for the density of states at the Fermi level: 1.13 states/eV/atom.

---

(3)
VASP calculation (PBE-GGA) on a geometry-optimized La3Pm3Tl2Sn structure.

Unit cell a=8.7584 b=8.7584 c=4.4358 alpha=90.00 beta=90.00 gamma=120.00
Atoms (fractional coordinates):
La  0.0000  0.7255  0.0000
La  0.2745  0.2745  0.0000
La  0.7255  0.0000  0.0000
Pm  0.0000  0.3984  0.5000
Pm  0.3984  0.0000  0.5000
Pm  0.6016  0.6016  0.5000
Tl  0.3333  0.6667  0.0000
Tl  0.6667  0.3333  0.0000
Sn  0.0000  0.0000  0.5000

Calculated values
As for the space group: No. 189. For the formation enthalpy at 0 K, the calculation gives -0.36 eV/atom. Its crystal system is hexagonal. As for the density of states at the Fermi level: 1.35 states/eV/atom.